LiMgMnRu | PBE-GGA | relaxed

Summary:
Its total magnetization is 0.49 μB per cell. As for the calculated volume: 212.4 Å³/cell. For the calculated density, the calculation gives 5.86 Mg/m³. For the energy relative to the elements, the calculation gives 0.17 eV per atom. Its total energy is -5.320 eV per atom.

Unit cell a=5.966 b=5.966 c=5.966 alpha=90.00 beta=90.00 gamma=90.00
Space group F-43m (No. 216)
Asymmetric unit:
Li  0.000  0.000  0.000 [4 per cell]
Mg  0.250  0.250  0.250 [4 per cell]
Mn  0.250  0.250  0.750 [4 per cell]
Ru  0.000  0.000  0.500 [4 per cell]